Record 1
Below is Co2SiW after structural relaxation, with properties calculated at the GGA-PBE level.

Computed properties:
Theoretical density ... 11.0 g/cm³
Calculated total energy ... -0.60527 Ry per atom

Lattice parameters (Å, degrees): 3.8438 2.6714 5.0191 74.57 90.00 90.00
Element x y z (fractional)
Co 0.0000 0.0519 0.0210
Co 0.5000 0.4383 0.2483
W 0.5000 0.6903 0.7447
Si 0.0000 0.3195 0.4860


Record 2
Below is CoSi2W after structural relaxation, with properties calculated at the GGA-PBE level.

Computed properties:
Relative energy among the computed polymorphs ... 120 meV per atom
Theoretical density ... 9.8 g/cm³
Calculated total energy ... -0.57326 Ry per atom

Lattice parameters (Å, degrees): 4.1569 4.1569 4.1569 60.00 60.00 60.00
Element x y z (fractional)
Si 0.2500 0.2500 0.2500
W 0.5000 0.5000 0.5000
Si 0.7500 0.7500 0.7500
Co 0.0000 0.0000 0.0000